Record 1
Nb2Sb2O7 (PBE, relaxed); symmetry = C2/m (12); V = 16.45 Å³ per atom; E_form (uncorrected) = -19.62 eV per formula unit; crystal system = monoclinic
1.0
3.5183 -4.1086 0.0000
3.5183 4.1086 0.0000
-0.3837 0.0000 6.2583
Nb Sb O
2 2 7
direct
0.2379 0.2379 0.0848
0.7621 0.7621 0.9152
0.1820 0.8180 0.5000
0.8180 0.1820 0.5000
0.0540 0.4274 0.2631
0.0806 0.0806 0.8255
0.4274 0.0540 0.2631
0.5000 0.5000 0.0000
0.5726 0.9460 0.7369
0.9194 0.9194 0.1745
0.9460 0.5726 0.7369

Record 2
NbSbO6 (PBE, relaxed); symmetry = C2/m (12); V = 15.47 Å³ per atom; E_form (uncorrected) = -11.16 eV per formula unit; crystal system = monoclinic
1.0
4.8432 -2.7983 0.0000
4.8432 2.7983 0.0000
-3.2264 0.0000 4.5662
Nb Sb O
1 1 6
direct
0.0000 0.0000 0.0000
0.5000 0.5000 0.5000
0.2498 0.7482 0.7483
0.2508 0.2508 0.2491
0.2518 0.7502 0.2517
0.7482 0.2498 0.7483
0.7492 0.7492 0.7509
0.7502 0.2518 0.2517

Magnetic moment: 0.00, 1.92 (μB/f.u.)